No. 1
# GdIn2

An optimized crystal structure of GdIn2 (PBE-GGA, the Alexandria database).

Cell: 6.022 6.022 6.022 Å, 60.00 60.00 60.00°
Fractional coordinates of all 6 atoms:
1 Gd 0.125 0.125 0.125
2 Gd 0.875 0.875 0.875
3 In 0.000 0.500 0.500
4 In 0.500 0.000 0.500
5 In 0.500 0.500 0.000
6 In 0.500 0.500 0.500

Results
For the calculated volume, the calculation gives 154 Å³ per cell. The value obtained for the formation energy is -8.79 kcal/mol of atoms. Its space group is Fd-3m.


No. 2
# Eu2HgGe

An optimized crystal structure of Eu2HgGe (PBE-GGA, the Alexandria database).

Cell: 9.103 9.103 9.103 Å, 25.78 25.78 25.78°
Fractional coordinates of all 4 atoms:
1 Eu 0.242 0.242 0.242
2 Eu 0.758 0.758 0.758
3 Hg 0.000 0.000 0.000
4 Ge 0.500 0.500 0.500

Results
For the calculated volume, the calculation gives 126 Å³ per cell. The excess energy over the best structure of this formula in the dataset is 0.225 eV per atom. The value obtained for the formation energy is -8.90 kcal/mol of atoms. Its space group is R-3m.


No. 3
# HoS6I2

An optimized crystal structure of HoS6I2 (PBE-GGA, the Alexandria database).

Cell: 4.377 8.783 9.168 Å, 117.60 93.00 92.37°
Fractional coordinates of all 9 atoms:
1 Ho 0.000 0.000 0.000
2 S 0.088 0.506 0.723
3 S 0.092 0.710 0.466
4 S 0.129 0.295 0.294
5 S 0.871 0.705 0.706
6 S 0.908 0.290 0.534
7 S 0.912 0.494 0.277
8 I 0.498 0.863 0.139
9 I 0.502 0.137 0.861

Results
For the calculated volume, the calculation gives 311 Å³ per cell. As for the uncorrected formation energy: -409.8 meV per atom. Its space group is P-1.


No. 4
# Rb2In2Cl7

An optimized crystal structure of Rb2In2Cl7 (PBE-GGA, the Alexandria database).

Cell: 6.796 16.364 8.235 Å, 90.00 96.63 90.00°
Fractional coordinates of all 22 atoms:
1 Rb 0.131 0.146 0.396
2 Rb 0.131 0.354 0.896
3 Rb 0.869 0.646 0.104
4 Rb 0.869 0.854 0.604
5 In 0.347 0.616 0.660
6 In 0.347 0.884 0.160
7 In 0.653 0.116 0.840
8 In 0.653 0.384 0.340
9 Cl 0.066 0.679 0.490
10 Cl 0.066 0.821 0.990
11 Cl 0.214 0.554 0.898
12 Cl 0.214 0.946 0.398
13 Cl 0.423 0.222 0.717
14 Cl 0.423 0.278 0.217
15 Cl 0.500 0.000 0.000
16 Cl 0.500 0.500 0.500
17 Cl 0.577 0.722 0.783
18 Cl 0.577 0.778 0.283
19 Cl 0.786 0.054 0.602
20 Cl 0.786 0.446 0.102
21 Cl 0.934 0.179 0.010
22 Cl 0.934 0.321 0.510

Results
For the calculated volume, the calculation gives 910 Å³ per cell. As for the uncorrected formation energy: -1341.0 meV per atom. Its space group is P2_1/c.


Q: calculated volume of number 3 (HoS6I2)?
A: 311 Å³ per cell